# 1
A geometry-optimized MoS4N2 structure, computed with PBE.

Cell: 8.6847 4.4668 16.9106 Å, 90.00 90.00 90.00°
Last column: nearest neighbours and their distance in Å.
Space group Pnma (No. 62)
Unique sites:
Mo  0.1562  0.2500  0.0220  1 N 2.14, 3 S 2.14-2.34
S  0.1345  0.7500  0.8703  1 N 1.48
S  0.1555  0.7500  0.4406  1 Mo 2.14
S  0.2376  0.5233  0.1322  1 S 2.02
N  0.0895  0.7500  0.9729  1 S 1.78
N  0.1993  0.2500  0.3497  1 S 1.48

Output
The value obtained for the total DFT energy (no corrections) is -5.85 eV/atom. The calculation puts the density of states at the Fermi level at 10.9 states/eV per cell.

# 2
A geometry-optimized PrSmAg4 structure, computed with PBE.

Cell: 7.1728 4.8225 9.0319 Å, 90.00 113.35 90.00°
Last column: nearest neighbours and their distance in Å.
Space group P2_1/m (No. 11)
Unique sites:
Pr  0.1193  0.2500  0.2389  12 Ag 3.32-3.38, 2 Sm 3.59-3.60
Sm  0.3685  0.7500  0.7379  12 Ag 3.23-3.29, 2 Pr 3.59-3.60
Ag  0.0466  0.2500  0.5830  3 Ag 2.78
Ag  0.2337  0.2500  0.9172  3 Ag 2.78
Ag  0.3175  0.7500  0.0829  3 Ag 2.77-2.78
Ag  0.4631  0.7500  0.4169  3 Ag 2.77-2.78

Output
The calculation puts the energy of formation from the pure elements at -0.26 eV per atom. The calculation puts the density of states at the Fermi level at 10.3 states/eV per cell.

Going through the records in order, we get volume values of 23.429 23.903 Å³/atom.